Record 1
Below is a geometry-optimized ReSiRu4 structure, with properties calculated at the PBE-GGA level.

Cell and atoms, written as extended XYZ:
```
6
Lattice="0.9733 -0.1555 4.9188 -2.0397 -3.5907 2.8483 2.8807 -3.6553 1.8726" Properties=species:S:1:pos:R:3 pbc="T T T"
Re 0.0000 0.0000 0.0000
Si 1.3607 -5.5511 7.2297
Ru 1.1666 -2.8549 6.0719
Ru 2.1184 -4.6015 4.5516
Ru -0.3371 -4.5693 5.0386
Ru 0.6808 -2.7773 3.6171
```

---

Record 2
Below is a geometry-optimized PI2O2 structure, with properties calculated at the PBE-GGA level.

Cell and atoms, written as extended XYZ:
```
5
Lattice="-2.7841 3.0210 2.6303 -1.5976 -3.7749 2.6445 2.8970 0.5110 2.4795" Properties=species:S:1:pos:R:3 pbc="T T T"
I -0.7988 -1.8874 1.3223
I -1.3920 1.5105 1.3151
P -0.7423 -0.1215 3.8772
O 0.0000 0.0000 0.0000
O 1.4485 0.2555 1.2397
```

Values from the calculation:
Its energy above the lowest structure with this stoichiometry is 728 meV/atom.

---

Record 3
Below is a geometry-optimized RbScPb structure, with properties calculated at the PBE-GGA level.

Cell and atoms, written as extended XYZ:
```
6
Lattice="1.9444 9.8528 6.8687 6.5945 8.7037 5.3661 3.5806 11.3829 2.3761" Properties=species:S:1:pos:R:3 pbc="T T T"
Pb 10.6494 26.3078 12.8387
Pb 3.5862 8.8593 4.3235
Sc 11.6345 28.7413 14.0262
Sc 7.0050 17.3048 8.4450
Rb 1.8247 4.5077 2.1998
Rb 8.5576 21.1404 10.3169
```

Values from the calculation:
Its energy above the lowest structure with this stoichiometry is 127 meV/atom. The energy of formation from the pure elements comes out at -11 kJ per mole of atoms.

---

Record 4
Below is a geometry-optimized Tb2Y8Tm structure, with properties calculated at the PBE-GGA level.

Cell and atoms, written as extended XYZ:
```
11
Lattice="-8.5618 7.2521 -1.1071 7.7799 -13.2300 2.4031 7.5333 -10.8929 8.1019" Properties=species:S:1:pos:R:3 pbc="T T T"
Tb 9.6171 -15.4774 7.8399
Tb -2.8657 -1.3934 1.5579
Y 2.8052 -10.0490 4.2218
Y 2.4467 -7.3158 1.9733
Y 6.3982 -14.1341 7.1619
Y 0.3532 -2.7366 2.2360
Y 4.3047 -9.5550 7.4245
Y 3.9462 -6.8218 5.1761
Y 6.0460 -11.3950 4.9061
Y 0.7054 -5.4757 4.4918
Tm 0.0000 0.0000 0.0000
```

Values from the calculation:
Its energy above the lowest structure with this stoichiometry is 0 meV/atom. The energy of formation from the pure elements comes out at 2 kJ per mole of atoms.

---

Record 5
Below is a geometry-optimized Mg2PaPb structure, with properties calculated at the PBE-GGA level.

Cell and atoms, written as extended XYZ:
```
4
Lattice="3.2219 0.0000 0.0000 1.6109 2.7902 0.0000 1.6109 0.9301 11.8066" Properties=species:S:1:pos:R:3 pbc="T T T"
Pb 3.2219 1.8602 5.9033
Mg 1.6109 0.9301 8.6228
Mg 4.8328 2.7902 3.1838
Pa 0.0000 0.0000 0.0000
```

Values from the calculation:
Its energy above the lowest structure with this stoichiometry is 232 meV/atom. The energy of formation from the pure elements comes out at 31 kJ per mole of atoms.

---

Record 6
Below is a geometry-optimized V4TcW structure, with properties calculated at the PBE-GGA level.

Cell and atoms, written as extended XYZ:
```
12
Lattice="-0.7049 -0.1575 -5.0070 0.7089 -4.3771 2.4236 -7.4596 -0.6159 1.0695" Properties=species:S:1:pos:R:3 pbc="T T T"
V -2.4710 -4.2700 -1.9405
V -6.5622 -1.0604 -1.9011
V -4.9583 -3.1558 -0.8357
V -1.5867 -1.9692 -3.3627
V -4.9846 -0.8805 0.4267
V -0.8934 -4.0901 0.3873
V -2.4972 -1.9947 -0.6782
V -5.8688 -3.1813 1.8489
Tc 0.0000 0.0000 0.0000
Tc -4.0822 -0.3867 -1.9687
W 0.0020 -2.2673 -1.2917
W -3.3753 -2.4965 1.7466
```

Values from the calculation:
Its energy above the lowest structure with this stoichiometry is 0 meV/atom. The energy of formation from the pure elements comes out at -9 kJ per mole of atoms.

---

no.,total DFT energy (no corrections) (eV per atom)
1,-8.4913
2,-2.6578
3,-3.7790
4,-5.9253
5,-3.7809
6,-10.0556